# 1
Density functional theory data (PBE) for a geometry-optimized Pm3ThRh3 structure.

a b c (Å): 7.6024 7.6024 7.6024
angles (deg): 68.97 68.97 68.97
Last column: nearest neighbours and their distance in Å.
Positions (direct):
Pm 0.8254 0.3602 0.1203  5 Rh 2.91-3.12
Rh 0.0531 0.4468 0.6874  2 Th 2.78-3.03, 4 Pm 2.91-3.07, 1 Rh 2.99
Pm 0.1746 0.6398 0.8797  5 Rh 2.91-3.12
Rh 0.5532 0.3126 0.9469  2 Th 2.78-3.03, 4 Pm 2.91-3.07, 1 Rh 2.99
Th 0.3234 0.3234 0.3234  6 Rh 2.78-3.03
Pm 0.3602 0.1203 0.8254  5 Rh 2.91-3.12
Rh 0.6874 0.0531 0.4468  2 Th 2.78-3.03, 4 Pm 2.91-3.07, 1 Rh 2.99
Rh 0.9469 0.5532 0.3126  2 Th 2.78-3.03, 4 Pm 2.91-3.07, 1 Rh 2.99
Rh 0.3126 0.9469 0.5532  2 Th 2.78-3.03, 4 Pm 2.91-3.07, 1 Rh 2.99
Rh 0.4468 0.6874 0.0531  2 Th 2.78-3.03, 4 Pm 2.91-3.07, 1 Rh 2.99
Pm 0.6398 0.8797 0.1746  5 Rh 2.91-3.12
Th 0.6766 0.6766 0.6766  6 Rh 2.78-3.03
Pm 0.1203 0.8254 0.3602  5 Rh 2.91-3.12
Pm 0.8797 0.1746 0.6398  5 Rh 2.91-3.12

Results
Density of states at the Fermi level ... 9.8 states/eV per cell
Energy relative to the elements ... -0.6734 eV/atom
Raw total energy ... -6.920 eV per atom
Total magnetization ... 0.0 μB/f.u.
Calculated volume ... 369 Å³/cell
Symmetry ... R-3, No. 148

# 2
Density functional theory data (PBE) for a geometry-optimized Pm3YTh2S6 structure.

a b c (Å): 6.9501 6.9501 6.9677
angles (deg): 99.61 99.61 119.85
Last column: nearest neighbours and their distance in Å.
Positions (direct):
S 0.5902 0.9176 0.7525  1 Y 2.80, 3 Pm 2.83-2.88, 2 Th 2.85
S 0.2444 0.2444 0.7517  1 Y 2.80, 3 Pm 2.83-2.89, 2 Th 2.85
S 0.0824 0.4098 0.2475  1 Y 2.80, 3 Pm 2.83-2.88, 2 Th 2.85
Th 0.3332 0.6668 0.0000  6 S 2.85
Pm 0.8327 0.1673 0.5000  6 S 2.83-2.88
Y 0.0000 0.0000 0.0000  6 S 2.80
Th 0.6668 0.3332 0.0000  6 S 2.85
S 0.4098 0.0824 0.2475  1 Y 2.80, 3 Pm 2.83-2.88, 2 Th 2.85
S 0.9176 0.5902 0.7525  1 Y 2.80, 3 Pm 2.83-2.88, 2 Th 2.85
S 0.7556 0.7556 0.2483  1 Y 2.80, 3 Pm 2.83-2.89, 2 Th 2.85
Pm 0.5000 0.5000 0.5000  6 S 2.83-2.89
Pm 0.1673 0.8327 0.5000  6 S 2.83-2.88

Results
Density of states at the Fermi level ... 6.7 states/eV per cell
Raw total energy ... -6.974 eV per atom
ΔE_f (raw) ... -1.948 eV/atom
Total magnetization ... 0.0 μB/f.u.
Calculated volume ... 275 Å³/cell
Symmetry ... C2/m, No. 12

# 3
Density functional theory data (PBE) for a geometry-optimized Ca2YHg structure.

a b c (Å): 6.8509 6.8509 5.6981
angles (deg): 65.38 65.38 32.63
Last column: nearest neighbours and their distance in Å.
Positions (direct):
Hg 0.5053 0.5053 0.4946  2 Y 3.06, 2 Ca 3.19
Y 0.2057 0.2057 0.2944  2 Hg 3.06
Ca 0.9986 0.9986 0.0014  4 Hg 3.44, 2 Y 3.76, 4 Ca 3.77-3.85
Ca 0.7904 0.7904 0.7096  2 Hg 3.19

Results
Density of states at the Fermi level ... 5.1 states/eV per cell
Energy relative to the elements ... -0.1911 eV/atom
Raw total energy ... -2.883 eV per atom
Total magnetization ... 0.0 μB/f.u.
Calculated volume ... 130 Å³/cell
Symmetry ... Imm2, No. 44

# 4
Density functional theory data (PBE) for a geometry-optimized LiCeNdGa structure.

a b c (Å): 5.2128 5.2128 5.2128
angles (deg): 60.00 60.00 60.00
Last column: nearest neighbours and their distance in Å.
Positions (direct):
Li 0.7500 0.7500 0.7500  4 Ce 3.19, 4 Nd 3.19
Nd 0.5000 0.5000 0.5000  4 Ga 3.19, 4 Li 3.19
Ce 0.0000 0.0000 0.0000  4 Li 3.19, 4 Ga 3.19
Ga 0.2500 0.2500 0.2500  4 Ce 3.19, 4 Nd 3.19

Results
Density of states at the Fermi level ... 8.5 states/eV per cell
Energy relative to the elements ... -0.1961 eV/atom
Raw total energy ... -4.107 eV per atom
Total magnetization ... 0.8 μB/f.u.
Calculated volume ... 100 Å³/cell
Symmetry ... F-43m, No. 216

# 5
Density functional theory data (PBE) for a geometry-optimized PrPuNi4 structure.

a b c (Å): 5.1321 5.1321 5.1321
angles (deg): 60.00 60.00 60.00
Last column: nearest neighbours and their distance in Å.
Positions (direct):
Pr 0.2500 0.2500 0.2500  12 Ni 3.01, 4 Pu 3.14
Ni 0.6263 0.1210 0.6263  6 Ni 2.54-2.59
Ni 0.6263 0.6263 0.1210  6 Ni 2.54-2.59
Ni 0.1210 0.6263 0.6263  6 Ni 2.54-2.59
Ni 0.6263 0.6263 0.6263  6 Ni 2.54-2.59
Pu 0.0000 0.0000 0.0000  12 Ni 3.01, 4 Pr 3.14

Results
Density of states at the Fermi level ... 17.3 states/eV per cell
Energy relative to the elements ... -0.2369 eV/atom
Raw total energy ... -7.276 eV per atom
Total magnetization ... 5.2 μB/f.u.
Calculated volume ... 96 Å³/cell
Symmetry ... F-43m, No. 216

# 6
Density functional theory data (PBE) for a geometry-optimized LaTb8Nd4 structure.

a b c (Å): 11.1235 11.1235 7.8743
angles (deg): 90.00 134.94 120.00
Last column: nearest neighbours and their distance in Å.
Positions (direct):
Nd 0.0000 0.0000 0.0000  8 Tb 3.25-3.26
Tb 0.0018 0.7627 0.2409  4 Nd 3.25-3.47, 1 La 3.56
Tb 0.9982 0.2373 0.7591  4 Nd 3.25-3.47, 1 La 3.56
Tb 0.5230 0.7615 0.2845  4 Nd 3.26-3.46, 1 La 3.57
Tb 0.5219 0.7609 0.7591  4 Nd 3.25-3.47, 1 La 3.56
Nd 0.0000 0.5000 0.0000  8 Tb 3.46-3.47
La 0.0000 0.5000 0.5000  8 Tb 3.56-3.57, 6 Nd 3.94
Tb 0.0018 0.2391 0.2409  4 Nd 3.25-3.47, 1 La 3.56
Nd 0.5000 0.0000 0.0000  8 Tb 3.46-3.47
Nd 0.5000 0.5000 0.0000  8 Tb 3.46-3.47
Tb 0.9982 0.7609 0.7591  4 Nd 3.25-3.47, 1 La 3.56
Tb 0.4781 0.2391 0.2409  4 Nd 3.25-3.47, 1 La 3.56
Tb 0.4770 0.2385 0.7155  4 Nd 3.26-3.46, 1 La 3.57

Results
Density of states at the Fermi level ... 20.1 states/eV per cell
Energy relative to the elements ... 0.5084 eV/atom
Raw total energy ... -4.187 eV per atom
Total magnetization ... 1.9 μB/f.u.
Calculated volume ... 488 Å³/cell
Symmetry ... R-3m, No. 166

# 7
Density functional theory data (PBE) for a geometry-optimized Cd3PtC structure.

a b c (Å): 5.2278 5.2278 5.2278
angles (deg): 90.00 90.00 90.00
Last column: nearest neighbours and their distance in Å.
Positions (direct):
Cd 0.0000 0.0000 0.5000  2 Pt 2.61
Pt 0.0000 0.0000 0.0000  6 Cd 2.61
C 0.5000 0.5000 0.5000  12 Cd 3.70
Cd 0.0000 0.5000 0.0000  2 Pt 2.61
Cd 0.5000 0.0000 0.0000  2 Pt 2.61

Results
Density of states at the Fermi level ... 2.9 states/eV per cell
Energy relative to the elements ... 1.3175 eV/atom
Raw total energy ... -2.284 eV per atom
Energy relative to the lowest polymorph listed for this composition ... 647 meV/atom
Total magnetization ... 2.1 μB/f.u.
Calculated volume ... 143 Å³/cell
Symmetry ... Pm-3m, No. 221